(1)
## NaAlF4 (GGA-PBEsol)

Data for an optimized crystal structure of NaAlF4.

Unit cell a=3.6346 b=5.2694 c=7.7091 alpha=90.00 beta=103.63 gamma=90.00
Closest atoms and distances in Å follow each position.
Atoms (fractional coordinates):
Al  0.0849  0.2500  0.1698  6 F 1.78-1.83
Al  0.9151  0.7500  0.8302  6 F 1.78-1.83
F  0.5807  0.2500  0.1614  2 Al 1.82
F  0.1698  0.0129  0.3397  1 Al 1.78
F  0.8302  0.9871  0.6603  1 Al 1.78
F  0.0000  0.0000  0.0000  2 Al 1.83
F  0.0000  0.5000  0.0000  2 Al 1.83
F  0.1698  0.4871  0.3397  1 Al 1.78
F  0.4193  0.7500  0.8386  2 Al 1.82
F  0.8302  0.5129  0.6603  1 Al 1.78
Na  0.6952  0.7500  0.3905  6 F 2.32-2.38
Na  0.3048  0.2500  0.6095  6 F 2.32-2.38

***

(2)
## Na2AlNiF7 (GGA-PBEsol)

Data for an optimized crystal structure of Na2AlNiF7.

Unit cell a=6.9999 b=7.1231 c=7.1231 alpha=61.94 beta=60.57 gamma=60.57
Closest atoms and distances in Å follow each position.
Atoms (fractional coordinates):
F  0.0766  0.5482  0.6776  1 Al 1.81, 1 Ni 1.98
F  0.4234  0.8224  0.9518  1 Al 1.81, 1 Ni 1.98
F  0.1976  0.1776  0.0482  1 Al 1.81, 1 Ni 1.98
F  0.7500  0.3786  0.1214  2 Ni 1.96
F  0.5766  0.1776  0.0482  1 Al 1.81, 1 Ni 1.98
F  0.0847  0.1936  0.6370  1 Al 1.83
F  0.8024  0.8224  0.9518  1 Al 1.81, 1 Ni 1.98
F  0.6976  0.5482  0.6776  1 Al 1.81, 1 Ni 1.98
F  0.5847  0.1370  0.6936  1 Al 1.83
F  0.4153  0.8630  0.3064  1 Al 1.83
F  0.9153  0.8064  0.3630  1 Al 1.83
F  0.3024  0.4518  0.3224  1 Al 1.81, 1 Ni 1.98
F  0.9234  0.4518  0.3224  1 Al 1.81, 1 Ni 1.98
F  0.2500  0.6214  0.8786  2 Ni 1.96
Na  0.5000  0.0000  0.5000  4 F 2.42
Na  0.0000  0.0000  0.5000  4 F 2.42
Na  0.5000  0.5000  0.5000  2 F 2.21
Na  0.0000  0.0000  0.0000  2 F 2.21
Al  0.5000  0.0000  0.0000  6 F 1.81-1.83
Al  0.0000  0.5000  0.5000  6 F 1.81-1.83
Ni  0.5000  0.5000  0.0000  6 F 1.96-1.98
Ni  0.0000  0.5000  0.0000  6 F 1.96-1.98

***

Computed E_form (uncorrected), in the same sequence as the records: -3.35 -2.79 eV per atom.